(1)
DFT (PBE) results for an optimized crystal structure of BaLiRh2.

For the total DFT energy (no corrections), the calculation gives -4.03 eV per atom. The energy above the most stable polymorph in this dataset comes out at 2.91 eV per formula unit. The value obtained for the energy relative to the elements is 0.6077 eV/atom. As for the crystal system: trigonal.

It has space group R3m (No. 160, hexagonal axes), with a = 3.1400 Å, b = 3.1400 Å, c = 29.2326 Å, α = 90.00°, β = 90.00° and γ = 120.00°. Symmetry generates all atoms from Ba at (0.0000, 0.0000, 0.0000), Li at (0.0000, 0.0000, 0.2216), Rh at (0.0000, 0.0000, 0.4894) and Rh at (0.0000, 0.0000, 0.7576).

(2)
DFT (PBE) results for an optimized crystal structure of BaLi2Rh2.

For the total DFT energy (no corrections), the calculation gives -4.01 eV per atom. The energy above the most stable polymorph in this dataset comes out at 0.18 eV per formula unit. The value obtained for the energy relative to the elements is 0.0851 eV/atom. As for the crystal system: tetragonal.

It has space group P4/mbm (No. 127), with a = 7.600 Å, b = 7.600 Å, c = 3.186 Å, α = 90.00°, β = 90.00° and γ = 90.00°. Symmetry generates all atoms from Ba at (0.000, 0.000, 0.000), Li at (0.152, 0.348, 0.500) and Rh at (0.124, 0.624, 0.000).

(3)
DFT (PBE) results for an optimized crystal structure of Ba8Li2Rh.

For the total DFT energy (no corrections), the calculation gives -2.44 eV per atom. The value obtained for the energy relative to the elements is -0.0220 eV/atom. As for the crystal system: monoclinic.

It has space group C2/m (No. 12), with a = 26.691 Å, b = 4.788 Å, c = 8.955 Å, α = 90.00°, β = 91.22° and γ = 90.00°. Symmetry generates all atoms from Ba at (0.003, 0.000, 0.227), Ba at (0.105, 0.500, 0.513), Ba at (0.113, 0.500, 0.002), Ba at (0.231, 0.000, 0.726), Li at (0.166, 0.000, 0.280) and Rh at (0.000, 0.500, 0.000).

(4)
DFT (PBE) results for an optimized crystal structure of BaLi3Rh.

For the total DFT energy (no corrections), the calculation gives -1.65 eV per atom. The energy above the most stable polymorph in this dataset comes out at 7.01 eV per formula unit. The value obtained for the energy relative to the elements is 1.3559 eV/atom. As for the crystal system: cubic.

It has space group Pm-3m (No. 221), with a = 4.891 Å, b = 4.891 Å, c = 4.891 Å, α = 90.00°, β = 90.00° and γ = 90.00°. Symmetry generates all atoms from Ba at (0.000, 0.000, 0.000), Li at (0.000, 0.000, 0.500) and Rh at (0.500, 0.500, 0.500).

(5)
DFT (PBE) results for an optimized crystal structure of BaLiRh2.

For the total DFT energy (no corrections), the calculation gives -4.50 eV per atom. The energy above the most stable polymorph in this dataset comes out at 1.03 eV per formula unit. The value obtained for the energy relative to the elements is 0.1381 eV/atom. As for the crystal system: monoclinic.

It has space group C2/m (No. 12), with a = 8.812 Å, b = 3.165 Å, c = 5.940 Å, α = 90.00°, β = 99.56° and γ = 90.00°. Symmetry generates all atoms from Ba at (0.000, 0.000, 0.000), Li at (0.000, 0.500, 0.500) and Rh at (0.234, 0.000, 0.668).

(6)
DFT (PBE) results for an optimized crystal structure of BaLi4Rh.

For the total DFT energy (no corrections), the calculation gives -2.85 eV per atom. The energy above the most stable polymorph in this dataset comes out at 0.00 eV per formula unit. The value obtained for the energy relative to the elements is -0.0290 eV/atom. As for the crystal system: monoclinic.

It has space group C2/c (No. 15), with a = 12.619 Å, b = 7.969 Å, c = 5.416 Å, α = 90.00°, β = 101.30° and γ = 90.00°. Symmetry generates all atoms from Ba at (0.000, 0.199, 0.250), Li at (0.129, 0.427, 0.745), Li at (0.205, 0.090, 0.888) and Rh at (0.250, 0.250, 0.500).

Please write out number 2 again, unchanged.
DFT (PBE) results for an optimized crystal structure of BaLi2Rh2.

For the total DFT energy (no corrections), the calculation gives -4.01 eV per atom. The energy above the most stable polymorph in this dataset comes out at 0.18 eV per formula unit. The value obtained for the energy relative to the elements is 0.0851 eV/atom. As for the crystal system: tetragonal.

It has space group P4/mbm (No. 127), with a = 7.600 Å, b = 7.600 Å, c = 3.186 Å, α = 90.00°, β = 90.00° and γ = 90.00°. Symmetry generates all atoms from Ba at (0.000, 0.000, 0.000), Li at (0.152, 0.348, 0.500) and Rh at (0.124, 0.624, 0.000).